(1)
Here is a geometry-optimized Ag2TeSe2Cl2 structure from Alexandria via LeMat-Bulk. Energies are from PBE.

Values from the calculation:
As for the magnetization: 0.000 μB per atom. For the uncorrected energy, the calculation gives -2.95 eV per atom. Its density of states at the Fermi level is 2.0 states/eV/f.u. The space group is No. 2. The energy relative to the elements, uncorrected is -0.159 eV/atom.

```
Ag2TeSe2Cl2
1.0
-4.520 0.618 0.817
-4.164 -5.009 -3.477
-5.226 -5.212 4.404
Se Ag Cl Te
2 2 2 1
direct
0.372 0.198 0.555 Se
0.628 0.802 0.445 Se
0.790 0.374 0.533 Ag
0.210 0.626 0.467 Ag
0.580 0.758 0.968 Cl
0.420 0.242 0.032 Cl
0.000 0.000 0.000 Te
```

---

(2)
Here is a geometry-optimized TlC2I structure from Alexandria via LeMat-Bulk. Energies are from PBE.

Values from the calculation:
As for the magnetization: 0.000 μB per atom. For the uncorrected energy, the calculation gives -3.31 eV per atom. Its density of states at the Fermi level is 1.1 states/eV/f.u. The space group is No. 122. The energy relative to the elements, uncorrected is 2.279 eV/atom.

```
TlC2I
1.0
-3.592 -3.183 -1.975
2.352 -4.045 2.245
-3.956 -2.861 4.988
Tl C I
2 4 2
direct
0.000 0.000 0.000 Tl
0.750 0.250 0.500 Tl
0.612 0.125 0.250 C
0.875 0.862 0.750 C
0.375 0.388 0.750 C
0.138 0.625 0.250 C
0.500 0.500 0.000 I
0.250 0.750 0.500 I
```

---

What is the magnetization in the first record? 0.000 μB per atom

---

Among the records above, which one has the highest uncorrected energy? Ag2TeSe2Cl2

---

What is the uncorrected energy in the first record? -2.95 eV per atom

---

Which of these has the lowest energy relative to the elements, uncorrected? Ag2TeSe2Cl2